This record from Alexandria via LeMat-Bulk describes a relaxed CdBrN3 crystal. The functional is GGA-PBE.

POSCAR file:
```
CdBrN3
1.0
-0.607 -0.623 4.314
-0.151 -4.350 -0.650
4.356 -0.238 0.579
Cd N Br
1 3 1
direct
0.000 0.000 0.000
0.500 0.000 0.000
0.000 0.000 0.500
0.000 0.500 0.000
0.500 0.500 0.500
```

Computed properties:
As for the space group: Pm-3m (221). As for the raw formation energy: 2.546 eV/atom.